Record 1
18
Lattice="10.263 0.000 0.000 -5.132 8.888 0.000 0.000 0.000 4.451" Properties=species:S:1:pos:R:3 comment="LaMg4Cu, single point on PBEsol structure, DFT meta-GGA SCAN" dos_ef_per_ev_cell=13.1 pbc="T T T"
La -3.042 5.268 0.000
La 2.090 3.620 0.000
La 6.083 0.000 0.000
Mg -1.301 2.254 0.000
Mg -4.279 7.412 2.226
Mg 0.853 1.477 2.226
Mg -0.572 4.274 2.226
Mg 2.603 0.000 0.000
Mg -1.144 7.247 2.226
Mg 3.987 1.641 2.226
Mg 1.717 6.256 2.226
Mg 4.559 4.615 2.226
Mg 3.830 6.634 0.000
Mg 6.848 2.633 2.226
Mg 8.558 0.000 2.226
Cu 0.000 0.000 0.000
Cu 0.000 5.926 0.000
Cu 5.132 2.963 0.000


Record 2
4
Lattice="0.000 3.383 3.383 3.383 0.000 3.383 3.383 3.383 0.000" Properties=species:S:1:pos:R:3 comment="Tm2ZnRh, single point on PBEsol structure, DFT meta-GGA SCAN" dos_ef_per_ev_cell=2.1 pbc="T T T"
Tm 1.691 1.691 1.691
Tm 5.074 5.074 5.074
Zn 0.000 0.000 0.000
Rh 3.383 3.383 3.383


Record 3
5
Lattice="4.790 0.000 0.000 0.000 4.790 0.000 0.000 0.000 4.790" Properties=species:S:1:pos:R:3 comment="Ti3BeAu, single point on PBEsol structure, DFT meta-GGA SCAN" dos_ef_per_ev_cell=7.7 pbc="T T T"
Ti 0.000 0.000 2.395
Ti 0.000 2.395 0.000
Ti 2.395 0.000 0.000
Be 2.395 2.395 2.395
Au 0.000 0.000 0.000


Record 4
6
Lattice="0.000 4.032 4.032 4.032 0.000 4.032 4.032 4.032 0.000" Properties=species:S:1:pos:R:3 comment="MnHg4As, single point on PBEsol structure, DFT meta-GGA SCAN" dos_ef_per_ev_cell=2.4 pbc="T T T"
Mn 0.000 0.000 0.000
Hg 5.040 3.024 3.024
Hg 3.024 5.040 3.024
Hg 3.024 3.024 5.040
Hg 5.040 5.040 5.040
As 2.016 2.016 2.016


| no. | total DFT energy (no corrections) (Ha/atom) | DFT formation energy (kcal/mol of atoms) |
| --- | --- | --- |
| 1 | -0.4848 | -3.7 |
| 2 | -1.4148 | -17.6 |
| 3 | -0.8594 | 21.6 |
| 4 | -1.8882 | 10.9 |